(P)
Entry from Alexandria via LeMat-Bulk: an optimized crystal structure of Sc3Cd2Hg3 (GGA-PBE).

a b c (Å): 3.5558 7.6538 7.6538
angles (deg): 120.00 90.00 90.00
Last column: nearest neighbours and their distance in Å.
Element x y z (fractional)
Hg  0.0000  0.7563  0.7563  2 Cd 2.95, 4 Sc 3.08, 2 Hg 3.23
Hg  0.0000  0.2437  0.0000  2 Cd 2.95, 4 Sc 3.08, 2 Hg 3.23
Hg  0.0000  0.0000  0.2437  2 Cd 2.95, 4 Sc 3.08, 2 Hg 3.23
Cd  0.0000  0.6667  0.3333  3 Hg 2.95, 6 Sc 2.99
Cd  0.0000  0.3333  0.6667  3 Hg 2.95, 6 Sc 2.99
Sc  0.5000  0.3745  0.3745  4 Cd 2.99, 4 Hg 3.08
Sc  0.5000  0.0000  0.6255  4 Cd 2.99, 4 Hg 3.08
Sc  0.5000  0.6255  0.0000  4 Cd 2.99, 4 Hg 3.08

Results
- Space-group type: No. 189
- Density of states at the Fermi level: 7.3 states/eV/f.u.
- Magnetic moment: 0.000 μB/f.u.
- Crystal system: hexagonal

=====

(Q)
Entry from Alexandria via LeMat-Bulk: an optimized crystal structure of Sc3Cd2Hg3 (GGA-PBE).

a b c (Å): 3.5927 4.9680 10.3151
angles (deg): 103.93 100.03 90.00
Last column: nearest neighbours and their distance in Å.
Element x y z (fractional)
Cd  0.2558  0.7558  0.5116  2 Hg 3.04, 4 Cd 3.07, 4 Sc 3.11-3.40
Cd  0.7442  0.2442  0.4884  2 Hg 3.04, 4 Cd 3.07, 4 Sc 3.11-3.40
Hg  0.8801  0.8801  0.7601  6 Sc 2.97-3.07, 2 Cd 3.04
Hg  0.0000  0.5000  0.0000  8 Sc 3.07-3.08, 4 Hg 3.43
Hg  0.1199  0.1199  0.2399  6 Sc 2.97-3.07, 2 Cd 3.04
Sc  0.3733  0.3733  0.7466  6 Hg 3.07-3.08, 4 Cd 3.11-3.40
Sc  0.5000  0.0000  0.0000  8 Hg 2.97-3.07
Sc  0.6267  0.6267  0.2534  6 Hg 3.07-3.08, 4 Cd 3.11-3.40

Results
- Space-group type: No. 71
- Density of states at the Fermi level: 5.7 states/eV/f.u.
- Magnetic moment: 0.000 μB/f.u.
- Crystal system: orthorhombic

=====

Which structure wins on stability? (Q) wins.

=====

(P)
Entry from Alexandria via LeMat-Bulk: an optimized crystal structure of Sc2CdHg3 (GGA-PBE).

a b c (Å): 4.9490 6.0922 8.6735
angles (deg): 90.00 90.00 90.00
Last column: nearest neighbours and their distance in Å.
Element x y z (fractional)
Hg  0.0000  0.7733  0.6607  5 Sc 2.88-3.08, 2 Cd 3.17
Hg  0.0000  0.9960  0.9991  8 Hg 3.05-3.40, 6 Sc 3.15-3.32
Hg  0.5000  0.2234  0.8290  5 Sc 2.85-3.05, 1 Cd 3.13
Hg  0.0000  0.2733  0.3393  5 Sc 2.88-3.08, 2 Cd 3.17
Hg  0.0000  0.4960  0.0009  8 Hg 3.05-3.40, 6 Sc 3.15-3.32
Hg  0.5000  0.7234  0.1710  5 Sc 2.85-3.05, 1 Cd 3.13
Sc  0.0000  0.2783  0.6717  6 Hg 2.85-3.15
Sc  0.0000  0.7783  0.3283  6 Hg 2.85-3.15
Sc  0.5000  0.2227  0.1627  7 Hg 2.89-3.17, 1 Cd 3.23
Sc  0.5000  0.7227  0.8373  7 Hg 2.89-3.17, 1 Cd 3.23
Cd  0.5000  0.0062  0.5023  2 Cd 3.05, 6 Hg 3.13-3.35, 6 Sc 3.21-3.38
Cd  0.5000  0.5062  0.4977  2 Cd 3.05, 6 Hg 3.13-3.35, 6 Sc 3.21-3.38

Results
- Space-group type: No. 26
- Density of states at the Fermi level: 3.6 states/eV/f.u.
- Magnetic moment: 0.000 μB/f.u.
- Crystal system: orthorhombic

=====

(Q)
Entry from Alexandria via LeMat-Bulk: an optimized crystal structure of Sc2CdHg3 (GGA-PBE).

a b c (Å): 5.8384 5.8384 8.9904
angles (deg): 101.37 101.37 113.12
Last column: nearest neighbours and their distance in Å.
Element x y z (fractional)
Hg  0.1670  0.1670  0.3341  1 Cd 2.79, 2 Hg 2.83
Hg  0.1686  0.6630  0.8316  1 Cd 2.78, 2 Hg 2.83
Hg  0.8314  0.3370  0.1684  1 Cd 2.78, 2 Hg 2.83
Hg  0.6630  0.1686  0.8316  1 Cd 2.78, 2 Hg 2.83
Hg  0.8330  0.8330  0.6659  1 Cd 2.79, 2 Hg 2.83
Hg  0.3370  0.8314  0.1684  1 Cd 2.78, 2 Hg 2.83
Sc  0.7520  0.7520  0.0000  2 Sc 3.19-3.24, 10 Hg 3.23-3.26, 2 Cd 3.24
Sc  0.2500  0.7500  0.5000  8 Hg 3.22-3.23, 2 Sc 3.22, 4 Cd 3.23
Sc  0.2480  0.2480  0.0000  2 Sc 3.19-3.24, 10 Hg 3.23-3.26, 2 Cd 3.24
Sc  0.7500  0.2500  0.5000  8 Hg 3.22-3.23, 2 Sc 3.22, 4 Cd 3.23
Cd  0.3330  0.3330  0.6661  3 Hg 2.78-2.79
Cd  0.6670  0.6670  0.3339  3 Hg 2.78-2.79

Results
- Space-group type: No. 69
- Density of states at the Fermi level: 3.6 states/eV/f.u.
- Magnetic moment: 0.681 μB/f.u.
- Crystal system: orthorhombic

=====

Which structure wins on stability? (P) wins.

=====

(P)
Entry from Alexandria via LeMat-Bulk: an optimized crystal structure of ScCd4Hg7 (GGA-PBE).

a b c (Å): 6.1194 8.6954 6.8616
angles (deg): 72.06 63.52 69.40
Last column: nearest neighbours and their distance in Å.
Element x y z (fractional)
Hg  0.2463  0.9963  0.5112  1 Sc 3.01, 5 Hg 3.04-3.13, 2 Cd 3.09-3.11
Hg  0.7479  0.3358  0.1684  5 Cd 3.01-3.14, 2 Hg 3.04-3.06, 1 Sc 3.09
Hg  0.7537  0.0037  0.4888  1 Sc 3.01, 5 Hg 3.04-3.13, 2 Cd 3.09-3.11
Hg  0.9980  0.3328  0.6712  3 Hg 3.06-3.12, 4 Cd 3.06-3.09, 1 Sc 3.07
Hg  0.2521  0.6642  0.8316  5 Cd 3.01-3.14, 2 Hg 3.04-3.06, 1 Sc 3.09
Hg  0.5000  0.0000  0.0000  4 Cd 3.03-3.08, 2 Sc 3.06, 2 Hg 3.13
Hg  0.0020  0.6672  0.3288  3 Hg 3.06-3.12, 4 Cd 3.06-3.09, 1 Sc 3.07
Cd  0.7496  0.6733  0.8274  7 Hg 3.03-3.14, 1 Cd 3.05
Cd  0.5047  0.6650  0.3256  6 Hg 3.01-3.11, 2 Cd 3.05-3.12
Cd  0.4953  0.3350  0.6744  6 Hg 3.01-3.11, 2 Cd 3.05-3.12
Cd  0.2504  0.3267  0.1726  7 Hg 3.03-3.14, 1 Cd 3.05
Sc  0.0000  0.0000  0.0000  8 Hg 3.01-3.09

Results
- Space-group type: No. 12
- Density of states at the Fermi level: 6.1 states/eV/f.u.
- Magnetic moment: 0.000 μB/f.u.
- Crystal system: monoclinic

=====

(Q)
Entry from Alexandria via LeMat-Bulk: an optimized crystal structure of ScCd4Hg7 (GGA-PBE).

a b c (Å): 6.6723 8.3781 13.2725
angles (deg): 43.51 42.00 37.34
Last column: nearest neighbours and their distance in Å.
Element x y z (fractional)
Hg  0.5000  0.0000  0.0000  6 Hg 3.01-3.21, 2 Cd 3.16, 2 Sc 3.34
Hg  0.7309  0.2149  0.3715  5 Cd 3.02-3.35, 3 Hg 3.10-3.30
Hg  0.2389  0.5018  0.0031  3 Hg 3.01-3.27, 2 Sc 3.04-3.08, 2 Cd 3.06-3.16
Hg  0.9795  0.2536  0.6829  3 Cd 2.99-3.32, 4 Hg 3.10-3.30, 1 Sc 3.11
Hg  0.2691  0.7851  0.6285  5 Cd 3.02-3.35, 3 Hg 3.10-3.30
Hg  0.7611  0.4982  0.9969  3 Hg 3.01-3.27, 2 Sc 3.04-3.08, 2 Cd 3.06-3.16
Hg  0.0205  0.7464  0.3171  3 Cd 2.99-3.32, 4 Hg 3.10-3.30, 1 Sc 3.11
Cd  0.5115  0.7416  0.3247  6 Hg 3.02-3.35, 3 Cd 3.04-3.27, 1 Sc 3.27
Cd  0.2768  0.2576  0.3084  6 Hg 2.99-3.35, 2 Cd 3.04-3.09
Cd  0.7232  0.7424  0.6916  6 Hg 2.99-3.35, 2 Cd 3.04-3.09
Cd  0.4885  0.2584  0.6753  6 Hg 3.02-3.35, 3 Cd 3.04-3.27, 1 Sc 3.27
Sc  0.0000  0.0000  0.0000  8 Hg 3.04-3.34, 2 Cd 3.27

Results
- Space-group type: No. 2
- Density of states at the Fermi level: 4.4 states/eV/f.u.
- Magnetic moment: 0.000 μB/f.u.
- Crystal system: triclinic

=====

Which structure wins on stability? (Q) wins.

=====

(P)
Entry from Alexandria via LeMat-Bulk: an optimized crystal structure of ScCd6Hg2 (GGA-PBE).

a b c (Å): 4.9400 4.9323 9.9353
angles (deg): 90.76 90.00 120.05
Last column: nearest neighbours and their distance in Å.
Element x y z (fractional)
Hg  0.6668  0.3337  0.9539  3 Hg 2.99-3.01, 4 Cd 3.01-3.21
Hg  0.3332  0.6663  0.0461  3 Hg 2.99-3.01, 4 Cd 3.01-3.21
Cd  0.3357  0.6713  0.6529  4 Cd 2.85-3.02
Cd  0.0036  0.0071  0.8153  1 Sc 3.13, 3 Hg 3.14-3.21, 6 Cd 3.27-3.29
Cd  0.6692  0.3385  0.6511  4 Cd 2.85-3.02, 1 Hg 3.01
Cd  0.3308  0.6615  0.3489  4 Cd 2.85-3.02, 1 Hg 3.01
Cd  0.9964  0.9929  0.1847  1 Sc 3.13, 3 Hg 3.14-3.21, 6 Cd 3.27-3.29
Cd  0.6643  0.3287  0.3471  4 Cd 2.85-3.02
Sc  0.0000  0.0000  0.5000  14 Cd 3.13-3.23

Results
- Space-group type: No. 12
- Density of states at the Fermi level: 3.6 states/eV/f.u.
- Magnetic moment: 0.000 μB/f.u.
- Crystal system: monoclinic

=====

(Q)
Entry from Alexandria via LeMat-Bulk: an optimized crystal structure of ScCd6Hg2 (GGA-PBE).

a b c (Å): 4.2915 7.2182 7.2040
angles (deg): 107.40 107.33 90.00
Last column: nearest neighbours and their distance in Å.
Element x y z (fractional)
Hg  0.9467  0.1901  0.8934  2 Sc 3.02, 9 Cd 3.14-3.32
Hg  0.0533  0.8099  0.1066  2 Sc 3.02, 9 Cd 3.14-3.32
Cd  0.2764  0.1640  0.5527  8 Cd 3.11-3.19, 3 Hg 3.14-3.32, 1 Sc 3.27
Cd  0.8282  0.5012  0.6564  8 Cd 3.03-3.27, 2 Hg 3.16-3.20, 2 Sc 3.19
Cd  0.6075  0.1562  0.2149  7 Cd 3.11-3.27, 4 Hg 3.15-3.20, 1 Sc 3.26
Cd  0.7236  0.8360  0.4473  8 Cd 3.11-3.19, 3 Hg 3.14-3.32, 1 Sc 3.27
Cd  0.1718  0.4988  0.3436  8 Cd 3.03-3.27, 2 Hg 3.16-3.20, 2 Sc 3.19
Cd  0.3925  0.8438  0.7851  7 Cd 3.11-3.27, 4 Hg 3.15-3.20, 1 Sc 3.26
Sc  0.5000  0.5000  0.0000  4 Hg 3.02, 8 Cd 3.19-3.27

Results
- Space-group type: No. 12
- Density of states at the Fermi level: 4.5 states/eV/f.u.
- Magnetic moment: 0.000 μB/f.u.
- Crystal system: monoclinic

=====

Which structure wins on stability? (Q) wins.

=====

(P)
Entry from Alexandria via LeMat-Bulk: an optimized crystal structure of ScCdSnHg (GGA-PBE).

a b c (Å): 4.2616 4.7708 4.4072
angles (deg): 90.00 90.00 90.00
Last column: nearest neighbours and their distance in Å.
Element x y z (fractional)
Cd  0.0000  0.0000  0.0000  4 Hg 3.07, 4 Sn 3.20, 4 Sc 3.25
Hg  0.5000  0.0000  0.5000  4 Cd 3.07, 4 Sc 3.20, 4 Sn 3.25
Sn  0.5000  0.5000  0.0000  4 Sc 3.07, 4 Cd 3.20, 4 Hg 3.25
Sc  0.0000  0.5000  0.5000  4 Sn 3.07, 4 Hg 3.20, 4 Cd 3.25

Results
- Space-group type: No. 47
- Density of states at the Fermi level: 1.3 states/eV/f.u.
- Magnetic moment: 0.000 μB/f.u.
- Crystal system: orthorhombic

=====

(Q)
Entry from Alexandria via LeMat-Bulk: an optimized crystal structure of ScCdSnHg (GGA-PBE).

a b c (Å): 5.0816 5.0816 5.0816
angles (deg): 60.00 60.00 60.00
Last column: nearest neighbours and their distance in Å.
Element x y z (fractional)
Sc  0.2500  0.2500  0.2500  4 Hg 3.11, 4 Sn 3.11
Sn  0.0000  0.0000  0.0000  4 Sc 3.11, 4 Cd 3.11
Hg  0.5000  0.5000  0.5000  4 Cd 3.11, 4 Sc 3.11
Cd  0.7500  0.7500  0.7500  4 Hg 3.11, 4 Sn 3.11

Results
- Space-group type: No. 216
- Density of states at the Fermi level: 3.6 states/eV/f.u.
- Magnetic moment: 0.000 μB/f.u.
- Crystal system: cubic

=====

Which structure wins on stability? (P) wins.

=====

(P)
Entry from Alexandria via LeMat-Bulk: an optimized crystal structure of ThScCdHg (GGA-PBE).

a b c (Å): 5.2569 5.2569 5.2569
angles (deg): 60.00 60.00 60.00
Last column: nearest neighbours and their distance in Å.
Element x y z (fractional)
Sc  0.0000  0.0000  0.0000  4 Cd 3.22, 4 Hg 3.22
Hg  0.2500  0.2500  0.2500  4 Sc 3.22, 4 Th 3.22
Cd  0.7500  0.7500  0.7500  4 Sc 3.22, 4 Th 3.22
Th  0.5000  0.5000  0.5000  4 Hg 3.22, 4 Cd 3.22

Results
- Space-group type: No. 216
- Density of states at the Fermi level: 4.8 states/eV/f.u.
- Magnetic moment: 0.724 μB/f.u.
- Crystal system: cubic

=====

(Q)
Entry from Alexandria via LeMat-Bulk: an optimized crystal structure of ThScCdHg (GGA-PBE).

a b c (Å): 3.5200 3.5200 8.0086
angles (deg): 90.00 90.00 90.00
Last column: nearest neighbours and their distance in Å.
Element x y z (fractional)
Hg  0.5000  0.5000  0.7829  4 Sc 2.99
Sc  0.0000  0.0000  0.5759  4 Hg 2.99, 4 Cd 3.05
Cd  0.5000  0.5000  0.3548  4 Sc 3.05, 4 Th 3.37
Th  0.0000  0.0000  0.0710  4 Cd 3.37, 4 Hg 3.39, 4 Th 3.52

Results
- Space-group type: No. 99
- Density of states at the Fermi level: 3.2 states/eV/f.u.
- Magnetic moment: 0.000 μB/f.u.
- Crystal system: tetragonal

=====

Which structure wins on stability? (Q) wins.

=====

(P)
Entry from Alexandria via LeMat-Bulk: an optimized crystal structure of Cd2HgSe (GGA-PBE).

a b c (Å): 11.8132 11.8132 11.8132
angles (deg): 14.84 14.84 14.84
Last column: nearest neighbours and their distance in Å.
Element x y z (fractional)
Cd  0.4991  0.4991  0.4991  6 Cd 3.05, 3 Se 3.38
Cd  0.0009  0.0009  0.0009  6 Cd 3.05, 3 Se 3.38
Hg  0.2500  0.2500  0.2500  6 Hg 3.05
Se  0.7500  0.7500  0.7500  6 Se 3.05, 6 Cd 3.38

Results
- Space-group type: No. 166
- Density of states at the Fermi level: 2.3 states/eV/f.u.
- Magnetic moment: 0.076 μB/f.u.
- Crystal system: trigonal

=====

(Q)
Entry from Alexandria via LeMat-Bulk: an optimized crystal structure of Cd2HgSe (GGA-PBE).

a b c (Å): 5.1644 5.1644 5.1644
angles (deg): 60.00 60.00 60.00
Last column: nearest neighbours and their distance in Å.
Element x y z (fractional)
Cd  0.2500  0.2500  0.2500  4 Hg 3.16, 4 Cd 3.16
Cd  0.0000  0.0000  0.0000  4 Cd 3.16, 4 Se 3.16
Se  0.7500  0.7500  0.7500  4 Hg 3.16, 4 Cd 3.16
Hg  0.5000  0.5000  0.5000  4 Se 3.16, 4 Cd 3.16

Results
- Space-group type: No. 216
- Density of states at the Fermi level: 1.4 states/eV/f.u.
- Magnetic moment: 0.000 μB/f.u.
- Crystal system: cubic

=====

(R)
Entry from Alexandria via LeMat-Bulk: an optimized crystal structure of Cd2HgSe (GGA-PBE).

a b c (Å): 4.0634 4.0634 7.4766
angles (deg): 74.46 74.46 60.16
Last column: nearest neighbours and their distance in Å.
Element x y z (fractional)
Hg  0.7500  0.7500  0.7500  6 Cd 3.02-3.04
Se  0.2500  0.2500  0.2500  6 Cd 2.86
Cd  0.9925  0.9925  0.0201  3 Se 2.86, 3 Hg 3.02-3.04
Cd  0.5075  0.5075  0.4799  3 Se 2.86, 3 Hg 3.02-3.04

Results
- Space-group type: No. 12
- Density of states at the Fermi level: 1.9 states/eV/f.u.
- Magnetic moment: 0.000 μB/f.u.
- Crystal system: monoclinic

=====

Which structure wins on stability? (R) wins.

=====

(P)
Entry from Alexandria via LeMat-Bulk: an optimized crystal structure of Cd2HgSe (GGA-PBE).

a b c (Å): 5.7371 3.0145 6.3113
angles (deg): 63.41 90.00 90.00
Last column: nearest neighbours and their distance in Å.
Element x y z (fractional)
Hg  0.0000  0.7501  0.3747  2 Hg 3.01, 8 Cd 3.15-3.25
Cd  0.5000  0.2488  0.3753  2 Se 2.82, 2 Cd 3.01
Cd  0.0000  0.7507  0.8747  2 Se 2.87, 2 Cd 3.01, 2 Hg 3.15-3.16
Se  0.5000  0.7505  0.8753  4 Cd 2.82-2.87, 2 Se 3.01

Results
- Space-group type: No. 10
- Density of states at the Fermi level: 1.9 states/eV/f.u.
- Magnetic moment: 0.000 μB/f.u.
- Crystal system: monoclinic

=====

(Q)
Entry from Alexandria via LeMat-Bulk: an optimized crystal structure of Cd2HgSe (GGA-PBE).

a b c (Å): 5.6119 5.6119 5.6119
angles (deg): 139.30 112.73 81.69
Last column: nearest neighbours and their distance in Å.
Element x y z (fractional)
Hg  0.2500  0.7500  0.5000  4 Cd 2.97
Cd  0.9857  0.9857  0.0000  2 Se 2.80, 2 Hg 2.97
Cd  0.5143  0.5143  0.0000  2 Se 2.80, 2 Hg 2.97
Se  0.7500  0.2500  0.5000  4 Cd 2.80

Results
- Space-group type: No. 71
- Density of states at the Fermi level: 1.5 states/eV/f.u.
- Magnetic moment: 0.000 μB/f.u.
- Crystal system: orthorhombic

=====

(R)
Entry from Alexandria via LeMat-Bulk: an optimized crystal structure of Cd2HgSe (GGA-PBE).

a b c (Å): 11.6831 11.6831 11.6831
angles (deg): 15.21 15.21 15.21
Last column: nearest neighbours and their distance in Å.
Element x y z (fractional)
Cd  0.0026  0.0026  0.0026  3 Se 3.08, 9 Cd 3.09-3.38
Cd  0.2531  0.2531  0.2531  9 Cd 3.09-3.38, 3 Hg 3.42
Se  0.7419  0.7419  0.7419  3 Cd 3.08, 6 Se 3.09
Hg  0.5023  0.5023  0.5023  6 Hg 3.09, 3 Cd 3.42

Results
- Space-group type: No. 160
- Density of states at the Fermi level: 2.2 states/eV/f.u.
- Magnetic moment: 0.002 μB/f.u.
- Crystal system: trigonal

=====

Which structure wins on stability? (Q) wins.